# 1
Compound: CaEuErMg
Source: the Alexandria database
Functional: GGA-PBE
Structure: optimized geometry

Output
Its density of states at the Fermi level is 3.464 states/eV/f.u. The calculation puts the formation energy at 8.8 kJ per mole of atoms. The value obtained for the total moment is 1.942 μB/atom. The calculation puts the total DFT energy (no corrections) at -4.52 eV per atom. The space group is F-43m (216).

Cell lengths 5.6970, 5.6970, 5.6970 Å; angles 60.00, 60.00, 60.00 degrees
Last column: magnetic moment on the atom in μB.
Atoms (fractional coordinates):
Eu1 0.5000 0.5000 0.5000  6.94
Ca1 0.7500 0.7500 0.7500  0.05
Mg1 0.0000 0.0000 0.0000  -0.01
Er1 0.2500 0.2500 0.2500  0.24

# 2
Compound: CaNdEuEr
Source: the Alexandria database
Functional: GGA-PBE
Structure: optimized geometry

Output
Its density of states at the Fermi level is 5.491 states/eV/f.u. The calculation puts the formation energy at 12.7 kJ per mole of atoms. The value obtained for the total moment is 1.803 μB/atom. The calculation puts the total DFT energy (no corrections) at -5.27 eV per atom. The space group is F-43m (216).

Cell lengths 5.9043, 5.9043, 5.9043 Å; angles 60.00, 60.00, 60.00 degrees
Last column: magnetic moment on the atom in μB.
Atoms (fractional coordinates):
Eu1 0.0000 0.0000 0.0000  6.86
Ca1 0.2500 0.2500 0.2500  0.01
Nd1 0.5000 0.5000 0.5000  -0.01
Er1 0.7500 0.7500 0.7500  0.04